No. 1
Density functional theory data (GGA-PBE) for crystalline BaYTm at its relaxed geometry.

Results
As for the total energy: -12.24 eV/f.u. The calculated formation energy comes out at 0.206 eV per atom. The calculation puts the energy above the most stable polymorph in this dataset at 0 meV per atom.

Cell lengths 3.776, 3.776, 8.548 Å; angles 102.76, 102.76, 90.00 degrees
Positions (direct):
Ba: 0.999 0.999 0.998
Tm: 0.318 0.318 0.637
Y: 0.683 0.683 0.365


No. 2
Density functional theory data (GGA-PBE) for crystalline La3DyY3S8 at its relaxed geometry.

Results
As for the total energy: -103.43 eV/f.u. As for the energy relative to the elements, uncorrected: -2109.0 meV per atom.

Cell lengths 7.968, 7.968, 8.120 Å; angles 119.38, 90.00, 120.00 degrees
Positions (direct):
La: 0.000 0.000 0.000
S: 0.756 0.512 0.268
S: 0.244 0.988 0.732
S: 0.756 0.012 0.268
S: 0.256 0.012 0.268
Y: 0.500 0.500 0.500
La: 0.000 0.500 0.000
S: 0.256 0.512 0.269
Y: 0.500 0.000 0.500
Y: 0.000 0.500 0.500
S: 0.744 0.488 0.731
Dy: 0.000 0.000 0.500
S: 0.244 0.488 0.732
La: 0.500 0.500 0.000
S: 0.744 0.988 0.732


No. 3
Density functional theory data (GGA-PBE) for crystalline Pm2Zn3Ni4 at its relaxed geometry.

Results
As for the total energy: -39.47 eV/f.u. The calculated formation energy comes out at -0.335 eV per atom.

Cell lengths 5.344, 7.107, 8.178 Å; angles 90.00, 109.07, 90.00 degrees
Positions (direct):
Zn: 0.982 0.250 0.464
Pm: 0.390 0.081 0.781
Ni: 0.821 0.250 0.142
Zn: 0.000 0.000 0.000
Zn: 0.518 0.750 0.536
Zn: 0.500 0.500 0.000
Ni: 0.669 0.510 0.337
Ni: 0.321 0.250 0.142
Pm: 0.890 0.419 0.781
Ni: 0.331 0.490 0.663
Ni: 0.679 0.750 0.858
Pm: 0.110 0.581 0.219
Pm: 0.610 0.919 0.219
Ni: 0.169 0.990 0.337
Zn: 0.018 0.750 0.536
Zn: 0.482 0.250 0.464
Ni: 0.179 0.750 0.858
Ni: 0.831 0.010 0.663


No. 4
Density functional theory data (GGA-PBE) for crystalline MnCuTe2 at its relaxed geometry.

Results
As for the total energy: -19.32 eV/f.u. As for the energy relative to the elements, uncorrected: 58.4 meV per atom.

Cell lengths 7.212, 7.212, 7.212 Å; angles 149.25, 150.88, 42.86 degrees
Positions (direct):
Te: 0.738 0.238 0.500
Mn: 0.321 0.821 0.500
Te: 0.988 0.988 0.000
Cu: 0.453 0.453 0.000


No. 5
Density functional theory data (GGA-PBE) for crystalline Cu2WAu at its relaxed geometry.

Results
As for the total energy: -23.16 eV/f.u. The calculated formation energy comes out at 0.316 eV per atom. The calculation puts the energy above the most stable polymorph in this dataset at 121 meV per atom.

Cell lengths 4.183, 2.656, 5.399 Å; angles 75.91, 90.00, 90.00 degrees
Positions (direct):
Cu: 0.000 0.187 0.003
Au: 0.500 0.805 0.767
Cu: 0.500 0.057 0.258
W: 0.000 0.451 0.472